8
Lattice="-3.5800 -1.4519 0.4235 0.7796 -0.8390 3.7138 -4.6389 7.6158 4.7278" Properties=species:S:1:pos:R:3 comment="GGA-PBE BeBiW2, relaxed" ef_mev_per_atom=950.6 vol_a3_per_atom=18.3 relative_energy_kj_per_mol_atoms=0.0 magnetic_moment_mub_per_fu=0.0 final_energy_ha_per_atom=-0.2730 density_g_cm3=13.3 spacegroup="I-42d, No. 122" pbc="T T T"
Bi -4.8095 2.5092 3.6100
Bi 0.0000 0.0000 0.0000
W -5.9622 3.7425 7.0101
W -1.2702 1.1372 3.5738
W -4.4966 4.8176 5.2532
W -3.1495 0.9525 1.8931
Be -2.6297 2.8157 5.2551
Be -1.4002 -1.1454 2.0687



18
Lattice="-2.8037 2.8391 -2.3204 -8.6250 -1.2344 2.7621 1.6033 8.6464 2.4929" Properties=species:S:1:pos:R:3 comment="GGA-PBE TaTe2O6, relaxed" vol_a3_per_atom=17.6 magnetic_moment_mub_per_fu=0.0 final_energy_ha_per_atom=-0.2500 density_g_cm3=5.6 spacegroup="C2/c, No. 15" pbc="T T T"
Te -5.0181 7.2948 2.3481
Te -8.4542 6.7491 1.2414
Te -1.3712 3.5018 1.6932
Te -4.8073 2.9562 0.5865
O -0.9062 5.5670 1.6511
O -8.9192 4.6840 1.2835
O -0.5896 8.3196 0.4346
O -9.2359 1.9314 2.5000
O -6.8197 6.2022 2.0834
O -2.9379 7.6884 2.3232
O -6.8875 2.5626 0.6114
O -3.0057 4.0488 0.8512
O -5.3208 4.5860 -0.2850
O -4.5046 5.6649 3.2196
O -6.8778 -0.5288 1.7972
O -2.9476 10.7797 1.1374
Ta -1.1330 7.3900 1.9664
Ta -8.6925 2.8610 0.9682



16
Lattice="8.4412 0.0000 0.0000 0.0000 8.4325 -0.0116 -4.2206 -4.2164 5.9724" Properties=species:S:1:pos:R:3 comment="GGA-PBE CaCe3Nd4Se8, relaxed" vol_a3_per_atom=26.5 magnetic_moment_mub_per_fu=2.9 final_energy_ha_per_atom=-0.2213 density_g_cm3=6.5 spacegroup="R-3m, No. 166" pbc="T T T"
Se 0.0000 0.0105 2.9923
Se 2.1292 2.0740 5.9567
Se 0.0000 4.2054 2.9384
Se 4.2206 0.0107 3.0223
Se 6.3499 2.1421 0.0041
Se 4.2206 4.2056 2.9685
Se 2.0914 2.1421 0.0041
Se -2.1292 2.0740 5.9567
Ce 2.1103 2.1080 2.9804
Ce -2.1103 2.1080 2.9804
Ce 4.2206 4.2162 -0.0058
Ca 0.0000 4.2162 -0.0058
Nd 0.0000 0.0000 0.0000
Nd 2.1103 -2.1082 2.9862
Nd 4.2206 0.0000 0.0000
Nd -2.1103 -2.1082 2.9862



4
Lattice="-1.1650 3.8126 2.8513 0.4048 2.0227 4.4461 3.7375 2.4630 -0.9146" Properties=species:S:1:pos:R:3 comment="GGA-PBE AlRu2Cl, relaxed" vol_a3_per_atom=15.2 relative_energy_kj_per_mol_atoms=27.8 magnetic_moment_mub_per_fu=0.0 final_energy_ha_per_atom=-0.2151 density_g_cm3=7.2 spacegroup="C2/m, No. 12" pbc="T T T"
Al 0.7443 2.0746 1.5957
Ru -0.6204 5.6844 6.9904
Ru 1.3489 4.3001 3.4983
Cl 2.2330 6.2237 4.7871



5
Lattice="4.9802 0.0000 0.0000 0.0000 5.2929 0.0000 0.0000 0.0000 4.9802" Properties=species:S:1:pos:R:3 comment="GGA-PBE TiSbAu2C, relaxed" vol_a3_per_atom=26.3 magnetic_moment_mub_per_fu=1.4 final_energy_ha_per_atom=-0.1361 density_g_cm3=7.3 spacegroup="P4/mmm, No. 123" pbc="T T T"
Ti 0.0000 0.0000 0.0000
C 2.4901 2.6465 2.4901
Au 2.4901 0.0000 0.0000
Au 0.0000 0.0000 2.4901
Sb 0.0000 2.6465 0.0000



12
Lattice="4.0509 0.0000 0.0000 0.0000 4.7377 0.0000 0.0000 0.0000 8.4635" Properties=species:S:1:pos:R:3 comment="GGA-PBE LaFeCo10, relaxed" ef_mev_per_atom=126.1 vol_a3_per_atom=13.5 magnetic_moment_mub_per_fu=19.0 final_energy_ha_per_atom=-0.2540 density_g_cm3=8.0 spacegroup="Pmmm, No. 47" pbc="T T T"
Co 0.0000 0.0000 2.4388
Co 2.0255 1.1535 2.0073
Co 2.0255 0.0000 4.2317
Co 0.0000 2.3689 1.2333
Co 2.0255 3.5842 2.0073
Co 2.0255 1.1535 6.4562
Co 0.0000 0.0000 6.0247
Co 2.0255 2.3689 0.0000
Co 2.0255 3.5842 6.4562
Co 0.0000 2.3689 7.2302
La 0.0000 2.3689 4.2317
Fe 0.0000 0.0000 0.0000



4
Lattice="3.4362 0.0000 0.0000 0.0000 3.4362 0.0000 0.0000 0.0000 6.7249" Properties=species:S:1:pos:R:3 comment="GGA-PBE HoScRhAu, relaxed" ef_mev_per_atom=-867.5 vol_a3_per_atom=19.9 relative_energy_kj_per_mol_atoms=0.0 magnetic_moment_mub_per_fu=0.0 final_energy_ha_per_atom=-0.2298 density_g_cm3=10.7 spacegroup="P4mm, No. 99" pbc="T T T"
Au 1.7181 1.7181 0.8427
Sc 0.0000 0.0000 2.4824
Rh 1.7181 1.7181 3.9681
Ho 0.0000 0.0000 5.6722



8
Lattice="-3.1678 -2.4878 3.4257 -1.5221 -4.9758 -0.9401 5.4981 -5.4721 5.1910" Properties=species:S:1:pos:R:3 comment="GGA-PBE LiCe2YIn4, relaxed" ef_mev_per_atom=-363.9 vol_a3_per_atom=26.7 magnetic_moment_mub_per_fu=1.7 final_energy_ha_per_atom=-0.1567 density_g_cm3=6.5 spacegroup="R-3m, No. 166" pbc="T T T"
In 3.0135 -7.5706 5.4503
In 2.8232 -4.3417 3.5385
In -2.2053 -5.3651 2.2262
In -2.0150 -8.5941 4.1381
Y 0.0000 0.0000 0.0000
Li 0.4041 -6.4679 3.8383
Ce 0.2841 -3.2686 1.9698
Ce 0.5242 -9.6672 5.7068